Entry 1:
Entry from the Alexandria database: an optimized crystal structure of YHg2Ru (GGA-PBE).

Summary:
Its total magnetization is 0.00 μB per formula unit. As for the raw total energy: -4.22 eV per atom. The energy above the most stable polymorph in this dataset comes out at 0 meV/atom. As for the formation energy from the elements: -0.137 eV/atom.

Lattice parameters (Å, degrees): 5.433 5.433 5.433 134.03 134.03 67.04
Fractional positions:
Y  0.000  0.000  0.000
Hg  0.250  0.750  0.500
Hg  0.750  0.250  0.500
Ru  0.500  0.500  0.000

Entry 2:
Entry from the Alexandria database: an optimized crystal structure of YHgRu2 (GGA-PBE).

Summary:
Its total magnetization is 0.00 μB per formula unit. As for the raw total energy: -5.83 eV per atom. As for the formation energy from the elements: 0.500 eV/atom.

Lattice parameters (Å, degrees): 10.186 10.186 10.186 156.34 156.34 33.70
Fractional positions:
Y  0.000  0.000  0.000
Y  0.750  0.250  0.500
Hg  0.250  0.750  0.500
Hg  0.500  0.500  0.000
Ru  0.043  0.625  0.918
Ru  0.375  0.293  0.418
Ru  0.707  0.125  0.082
Ru  0.875  0.957  0.582

Entry 3:
Entry from the Alexandria database: an optimized crystal structure of YHg3Ru (GGA-PBE).

Summary:
Its total magnetization is 2.44 μB per formula unit. As for the raw total energy: -2.03 eV per atom. The energy above the most stable polymorph in this dataset comes out at 909 meV/atom. As for the formation energy from the elements: 1.302 eV/atom.

Lattice parameters (Å, degrees): 5.687 5.687 5.687 90.00 90.00 90.00
Fractional positions:
Y  0.000  0.000  0.000
Hg  0.000  0.000  0.500
Hg  0.000  0.500  0.000
Hg  0.500  0.000  0.000
Ru  0.500  0.500  0.500

Entry 4:
Entry from the Alexandria database: an optimized crystal structure of YHg2Ru (GGA-PBE).

Summary:
Its total magnetization is 0.00 μB per formula unit. As for the raw total energy: -4.06 eV per atom. The energy above the most stable polymorph in this dataset comes out at 162 meV/atom. As for the formation energy from the elements: 0.025 eV/atom.

Lattice parameters (Å, degrees): 3.372 4.662 5.636 90.00 105.22 90.00
Fractional positions:
Y  0.000  0.000  0.000
Hg  0.388  0.500  0.728
Hg  0.612  0.500  0.272
Ru  0.000  0.000  0.500

Entry 5:
Entry from the Alexandria database: an optimized crystal structure of YHg2Ru (GGA-PBE).

Summary:
Its total magnetization is 0.00 μB per formula unit. As for the raw total energy: -3.97 eV per atom. The energy above the most stable polymorph in this dataset comes out at 256 meV/atom. As for the formation energy from the elements: 0.119 eV/atom.

Lattice parameters (Å, degrees): 6.013 6.013 3.543 106.32 106.32 122.47
Fractional positions:
Y  0.000  0.000  0.000
Hg  0.000  0.500  0.500
Hg  0.500  0.000  0.500
Ru  0.500  0.500  0.000

Entry 6:
Entry from the Alexandria database: an optimized crystal structure of YHgRu2 (GGA-PBE).

Summary:
Its total magnetization is 0.00 μB per formula unit. As for the raw total energy: -6.17 eV per atom. As for the formation energy from the elements: 0.164 eV/atom.

Lattice parameters (Å, degrees): 5.124 5.124 4.606 111.68 111.68 46.44
Fractional positions:
Y  0.000  0.000  0.000
Hg  0.500  0.500  0.500
Ru  0.238  0.238  0.651
Ru  0.762  0.762  0.349